# KNiF3 PBE+U relaxed
# Electronic total energy, Ry per atom: -0.3061
# Space group: C2/m
data_KNiF3
_cell_length_a 7.235
_cell_length_b 7.235
_cell_length_c 7.479
_cell_angle_alpha 107.75
_cell_angle_beta 107.75
_cell_angle_gamma 28.43
_space_group_name_H-M_alt 'P 1'
_space_group_IT_number 1
loop_
_space_group_symop_operation_xyz
'x,y,z'
loop_
_atom_site_label
_atom_site_type_symbol
_atom_site_fract_x
_atom_site_fract_y
_atom_site_fract_z
_atom_site_occupancy
K1 K 0.114 0.114 0.341 1
K2 K 0.886 0.886 0.659 1
Ni1 Ni 0.335 0.335 0.147 1
Ni2 Ni 0.665 0.665 0.853 1
F1 F 0.181 0.181 0.013 1
F2 F 0.313 0.313 0.386 1
F3 F 0.477 0.477 0.227 1
F4 F 0.523 0.523 0.773 1
F5 F 0.687 0.687 0.614 1
F6 F 0.819 0.819 0.987 1